[1]
# PBE Hf2Sb4As, optimized geometry
data_Hf2Sb4As
_symmetry_space_group_name_H-M 'P 1'
_symmetry_Int_Tables_number 1
_symmetry_space_group_name_Hall 'P 1'
_cell_length_a 5.356
_cell_length_b 5.356
_cell_length_c 8.070
_cell_angle_alpha 70.62
_cell_angle_beta 70.62
_cell_angle_gamma 90.00
loop_
_atom_site_label
_atom_site_type_symbol
_atom_site_fract_x
_atom_site_fract_y
_atom_site_fract_z
_atom_site_occupancy
Hf1 Hf 0.396 0.396 0.209 1
Hf2 Hf 0.604 0.604 0.791 1
As1 As 0.000 0.000 0.000 1
Sb1 Sb 0.800 0.800 0.401 1
Sb2 Sb 0.200 0.200 0.599 1
Sb3 Sb 0.000 0.500 0.000 1
Sb4 Sb 0.500 0.000 0.000 1
# uncorrected formation energy	0.40	eV per atom
# symmetry	No. 139
# magnetic moment	0.00	μB/f.u.

---

[2]
# PBE HfSbAs3, optimized geometry
data_HfSbAs3
_symmetry_space_group_name_H-M 'P 1'
_symmetry_Int_Tables_number 1
_symmetry_space_group_name_Hall 'P 1'
_cell_length_a 5.109
_cell_length_b 5.109
_cell_length_c 5.109
_cell_angle_alpha 90.00
_cell_angle_beta 90.00
_cell_angle_gamma 90.00
loop_
_atom_site_label
_atom_site_type_symbol
_atom_site_fract_x
_atom_site_fract_y
_atom_site_fract_z
_atom_site_occupancy
Hf1 Hf 0.500 0.500 0.500 1
As1 As 0.000 0.500 0.000 1
As2 As 0.000 0.000 0.500 1
As3 As 0.500 0.000 0.000 1
Sb1 Sb 0.000 0.000 0.000 1
# uncorrected formation energy	0.98	eV per atom
# distance to the lowest polymorph of the same formula	3.39	eV per formula unit
# symmetry	No. 221
# magnetic moment	0.00	μB/f.u.

---

[3]
# PBE Hf4SbAs2, optimized geometry
data_Hf4SbAs2
_symmetry_space_group_name_H-M 'P 1'
_symmetry_Int_Tables_number 1
_symmetry_space_group_name_Hall 'P 1'
_cell_length_a 3.863
_cell_length_b 6.484
_cell_length_c 12.641
_cell_angle_alpha 90.00
_cell_angle_beta 90.00
_cell_angle_gamma 107.33
loop_
_atom_site_label
_atom_site_type_symbol
_atom_site_fract_x
_atom_site_fract_y
_atom_site_fract_z
_atom_site_occupancy
As1 As 0.863 0.725 0.946 1
As2 As 0.863 0.725 0.554 1
As3 As 0.137 0.275 0.446 1
As4 As 0.137 0.275 0.054 1
Hf1 Hf 0.500 0.000 0.000 1
Hf2 Hf 0.500 0.000 0.500 1
Hf3 Hf 0.766 0.532 0.127 1
Hf4 Hf 0.234 0.468 0.627 1
Hf5 Hf 0.920 0.840 0.750 1
Hf6 Hf 0.766 0.532 0.373 1
Hf7 Hf 0.080 0.160 0.250 1
Hf8 Hf 0.234 0.468 0.873 1
Sb1 Sb 0.597 0.194 0.750 1
Sb2 Sb 0.403 0.806 0.250 1
# uncorrected formation energy	-0.63	eV per atom
# symmetry	No. 63
# magnetic moment	0.00	μB/f.u.

---

[4]
# PBE Hf5SbAs, optimized geometry
data_Hf5SbAs
_symmetry_space_group_name_H-M 'P 1'
_symmetry_Int_Tables_number 1
_symmetry_space_group_name_Hall 'P 1'
_cell_length_a 5.969
_cell_length_b 5.969
_cell_length_c 10.320
_cell_angle_alpha 76.03
_cell_angle_beta 76.03
_cell_angle_gamma 61.63
loop_
_atom_site_label
_atom_site_type_symbol
_atom_site_fract_x
_atom_site_fract_y
_atom_site_fract_z
_atom_site_occupancy
Sb1 Sb 0.565 0.435 0.750 1
Sb2 Sb 0.435 0.565 0.250 1
Hf1 Hf 0.949 0.607 0.162 1
Hf2 Hf 0.764 0.507 0.469 1
Hf3 Hf 0.393 0.051 0.338 1
Hf4 Hf 0.607 0.949 0.662 1
Hf5 Hf 0.051 0.393 0.838 1
Hf6 Hf 0.083 0.917 0.750 1
Hf7 Hf 0.917 0.083 0.250 1
Hf8 Hf 0.236 0.493 0.531 1
Hf9 Hf 0.493 0.236 0.031 1
Hf10 Hf 0.507 0.764 0.969 1
As1 As 0.000 0.000 0.500 1
As2 As 0.000 0.000 0.000 1
# uncorrected formation energy	-0.18	eV per atom
# symmetry	No. 15
# magnetic moment	0.00	μB/f.u.